Record 1
DFT (PBE) results for crystalline NbFeS3 at its relaxed geometry. Values from VASP.

Total magnetization in μB per formula unit: 3.76
Excess energy over the best structure of this formula in the dataset in eV/atom: 0.000

Structure (Quantum ESPRESSO input):
```
&SYSTEM
  ibrav = 0, nat = 5, ntyp = 3
/
ATOMIC_SPECIES
Nb 92.91 Nb.upf
Fe 55.84 Fe.upf
S 32.06 S.upf
CELL_PARAMETERS angstrom
4.783 0.000 0.000
0.000 4.783 0.000
0.000 0.000 4.783
ATOMIC_POSITIONS angstrom
Nb 0.000 0.000 0.000
Fe 2.392 2.392 2.392
S 0.000 0.000 2.392
S 2.392 0.000 0.000
S 0.000 2.392 0.000
```



Record 2
DFT (PBE) results for crystalline NbFe2SeS at its relaxed geometry. Values from VASP.

Total magnetization in μB per formula unit: 2.00

Structure (Quantum ESPRESSO input):
```
&SYSTEM
  ibrav = 0, nat = 5, ntyp = 4
/
ATOMIC_SPECIES
S 32.06 S.upf
Fe 55.84 Fe.upf
Nb 92.91 Nb.upf
Se 78.96 Se.upf
CELL_PARAMETERS angstrom
4.051 0.000 0.000
0.000 4.051 0.000
0.000 0.000 5.364
ATOMIC_POSITIONS angstrom
S 0.000 0.000 0.000
Fe 2.025 0.000 0.000
Fe 0.000 2.025 0.000
Nb 2.025 2.025 2.682
Se 0.000 0.000 2.682
```



Record 3
DFT (PBE) results for crystalline YNb2FeS at its relaxed geometry. Values from VASP.

Total magnetization in μB per formula unit: 0.00

Structure (Quantum ESPRESSO input):
```
&SYSTEM
  ibrav = 0, nat = 5, ntyp = 4
/
ATOMIC_SPECIES
S 32.06 S.upf
Fe 55.84 Fe.upf
Y 88.91 Y.upf
Nb 92.91 Nb.upf
CELL_PARAMETERS angstrom
-3.595 2.546 1.846
-2.552 -1.355 -3.102
-1.274 -3.742 2.681
ATOMIC_POSITIONS angstrom
S -1.276 -0.677 -1.551
Fe 0.000 0.000 0.000
Y -3.710 -1.275 0.712
Nb -1.797 1.273 0.923
Nb -0.637 -1.871 1.341
```



Record 4
DFT (PBE) results for crystalline ZrNb2FeS at its relaxed geometry. Values from VASP.

Total magnetization in μB per formula unit: 1.83

Structure (Quantum ESPRESSO input):
```
&SYSTEM
  ibrav = 0, nat = 5, ntyp = 4
/
ATOMIC_SPECIES
Zr 91.22 Zr.upf
S 32.06 S.upf
Nb 92.91 Nb.upf
Fe 55.84 Fe.upf
CELL_PARAMETERS angstrom
-2.129 1.072 -4.037
-2.601 -3.097 0.549
-2.919 2.859 2.299
ATOMIC_POSITIONS angstrom
Zr -3.825 0.417 -0.595
S 0.000 0.000 0.000
Nb -1.065 0.536 -2.019
Nb -1.460 1.429 1.149
Fe -1.300 -1.549 0.275
```



Record 5
DFT (PBE) results for crystalline NbFeSb3 at its relaxed geometry. Values from VASP.

Total magnetization in μB per formula unit: 3.33
Excess energy over the best structure of this formula in the dataset in eV/atom: 0.105

Structure (Quantum ESPRESSO input):
```
&SYSTEM
  ibrav = 0, nat = 5, ntyp = 3
/
ATOMIC_SPECIES
Sb 121.76 Sb.upf
Fe 55.84 Fe.upf
Nb 92.91 Nb.upf
CELL_PARAMETERS angstrom
5.331 0.000 0.000
0.000 5.331 0.000
0.000 0.000 5.331
ATOMIC_POSITIONS angstrom
Sb 2.665 0.000 0.000
Sb 0.000 0.000 2.665
Sb 0.000 2.665 0.000
Fe 2.665 2.665 2.665
Nb 0.000 0.000 0.000
```



Record 6
DFT (PBE) results for crystalline NbFeSb2 at its relaxed geometry. Values from VASP.

Total magnetization in μB per formula unit: 1.08
Excess energy over the best structure of this formula in the dataset in eV/atom: 0.140

Structure (Quantum ESPRESSO input):
```
&SYSTEM
  ibrav = 0, nat = 4, ntyp = 3
/
ATOMIC_SPECIES
Fe 55.84 Fe.upf
Sb 121.76 Sb.upf
Nb 92.91 Nb.upf
CELL_PARAMETERS angstrom
3.163 0.000 0.000
1.581 2.739 0.000
1.581 0.913 9.393
ATOMIC_POSITIONS angstrom
Fe 3.163 1.826 4.696
Sb 1.581 0.913 6.557
Sb 4.744 2.739 2.835
Nb 0.000 0.000 0.000
```



Record 7
DFT (PBE) results for crystalline NbFeSb2 at its relaxed geometry. Values from VASP.

Total magnetization in μB per formula unit: 0.00
Excess energy over the best structure of this formula in the dataset in eV/atom: 0.281

Structure (Quantum ESPRESSO input):
```
&SYSTEM
  ibrav = 0, nat = 8, ntyp = 3
/
ATOMIC_SPECIES
Fe 55.84 Fe.upf
Sb 121.76 Sb.upf
Nb 92.91 Nb.upf
CELL_PARAMETERS angstrom
-4.616 -0.305 5.467
-5.458 -0.322 -4.626
-4.842 -3.466 0.410
ATOMIC_POSITIONS angstrom
Fe -7.669 -2.051 -1.898
Fe -5.037 -0.313 0.421
Sb -5.411 -1.120 -1.854
Sb -4.566 -1.084 2.690
Sb -12.196 -3.134 1.256
Sb -7.660 -2.850 0.410
Nb 0.000 0.000 0.000
Nb -7.248 -2.042 3.149
```



Record 8
DFT (PBE) results for crystalline Nb2Fe2Sb at its relaxed geometry. Values from VASP.

Total magnetization in μB per formula unit: 0.00

Structure (Quantum ESPRESSO input):
```
&SYSTEM
  ibrav = 0, nat = 10, ntyp = 3
/
ATOMIC_SPECIES
Fe 55.84 Fe.upf
Sb 121.76 Sb.upf
Nb 92.91 Nb.upf
CELL_PARAMETERS angstrom
7.169 0.000 0.000
0.000 7.169 0.000
0.000 0.000 3.057
ATOMIC_POSITIONS angstrom
Fe 0.928 2.657 0.000
Fe 6.242 4.512 0.000
Fe 4.512 0.928 0.000
Fe 2.657 6.242 0.000
Sb 3.585 3.585 0.000
Sb 0.000 0.000 0.000
Nb 6.013 2.428 1.529
Nb 2.428 1.156 1.529
Nb 1.156 4.741 1.529
Nb 4.741 6.013 1.529
```



Record 9
DFT (PBE) results for crystalline NbFeSb2 at its relaxed geometry. Values from VASP.

Total magnetization in μB per formula unit: 1.18
Excess energy over the best structure of this formula in the dataset in eV/atom: 0.000

Structure (Quantum ESPRESSO input):
```
&SYSTEM
  ibrav = 0, nat = 4, ntyp = 3
/
ATOMIC_SPECIES
Fe 55.84 Fe.upf
Sb 121.76 Sb.upf
Nb 92.91 Nb.upf
CELL_PARAMETERS angstrom
0.000 3.342 3.342
3.342 0.000 3.342
3.342 3.342 0.000
ATOMIC_POSITIONS angstrom
Fe 0.000 0.000 0.000
Sb 1.671 1.671 1.671
Sb 5.013 5.013 5.013
Nb 3.342 3.342 3.342
```



Record 10
DFT (PBE) results for crystalline NbFeSb3 at its relaxed geometry. Values from VASP.

Total magnetization in μB per formula unit: 4.17
Excess energy over the best structure of this formula in the dataset in eV/atom: 0.000

Structure (Quantum ESPRESSO input):
```
&SYSTEM
  ibrav = 0, nat = 5, ntyp = 3
/
ATOMIC_SPECIES
Fe 55.84 Fe.upf
Sb 121.76 Sb.upf
Nb 92.91 Nb.upf
CELL_PARAMETERS angstrom
-3.803 3.026 -0.839
-1.851 -3.225 -3.240
-2.536 -2.183 3.623
ATOMIC_POSITIONS angstrom
Fe 0.000 0.000 0.000
Sb -0.925 -1.613 -1.620
Sb -1.902 1.513 -0.420
Sb -1.268 -1.092 1.811
Nb -4.095 -1.192 -0.228
```



Energy for the records above, in order: -5.990 -6.319 -7.406 -8.345 -5.275 -6.299 -6.159 -8.207 -6.440 -5.379 eV per atom